(1)
PBE Zr2Au2I, optimized geometry; density = 10.28 g/cm3; formation energy without anion corrections = -0.2921 eV per atom
1.0
7.8102 0.0000 0.0000
0.0000 7.8102 0.0000
0.0000 0.0000 3.7263
I Au Zr
2 4 4
direct
0.0000 0.0000 0.0000
0.5000 0.5000 0.0000
0.1316 0.6316 0.5000
0.6316 0.8684 0.5000
0.8684 0.3684 0.5000
0.3684 0.1316 0.5000
0.3395 0.8395 0.0000
0.8395 0.6605 0.0000
0.6605 0.1605 0.0000
0.1605 0.3395 0.0000


(2)
PBE ZrAuI, optimized geometry; density = 8.39 g/cm3; formation energy without anion corrections = -0.0788 eV per atom
1.0
4.5153 0.0000 0.0000
-2.2577 3.9606 0.0000
0.0000 0.0000 9.1842
Au I Zr
2 2 2
direct
0.5567 0.1134 0.0000
0.8892 0.7784 0.5000
0.2207 0.4415 0.7021
0.2207 0.4415 0.2979
0.8896 0.7792 0.8407
0.8896 0.7792 0.1593


(3)
PBE ZrAuI2, optimized geometry; density = 8.86 g/cm3; formation energy without anion corrections = 0.0702 eV per atom
1.0
0.0000 3.7031 3.7031
3.7031 0.0000 3.7031
3.7031 3.7031 0.0000
I Au Zr
2 1 1
direct
0.2500 0.2500 0.2500
0.7500 0.7500 0.7500
0.5000 0.5000 0.5000
0.0000 0.0000 0.0000


(4)
PBE In3Au2, optimized geometry; density = 10.20 g/cm3; E_form = -0.6 eV/f.u.
1.0
0.0000 6.0430 7.5750
2.6265 0.0000 7.5750
2.6265 6.0430 0.0000
In Au
6 4
direct
0.2012 0.2051 0.0029
0.5908 0.0029 0.2051
0.2471 0.6592 0.0488
0.0449 0.0488 0.6592
0.9445 0.5555 0.5555
0.6945 0.3055 0.3055
0.7355 0.0552 0.6812
0.5281 0.6812 0.0552
0.5688 0.7219 0.5145
0.1948 0.5145 0.7219


DFT total energy for every record listed, in sequence, given in eV for the cell shown: -53.32, -27.22, -14.65, -30.66.
Magnetization for every record listed, in sequence, given in Bohr magnetons per cell: 0.00, 0.00, 1.00, 0.00.